No. 1
Computed, not measured: a relaxed structure of Tb15Y2Ho2 at the PBE-GGA level of DFT.

Unit cell a=8.7313 b=8.7313 c=8.7313 alpha=79.17 beta=79.17 gamma=79.17
Closest atoms and distances in Å follow each position.
Atoms (fractional coordinates):
Tb (0.6260, 0.1507, 0.6260)  6 Tb 3.26-3.34
Tb (0.1507, 0.6260, 0.6260)  6 Tb 3.26-3.34
Tb (0.7015, 0.2985, 0.0000)  6 Tb 3.27-3.41
Tb (0.0000, 0.0000, 0.5000)  8 Tb 3.34-3.41, 2 Y 3.45
Y (0.0957, 0.0957, 0.0957)  1 Y 3.40, 9 Tb 3.45-3.73
Tb (0.8493, 0.3740, 0.3740)  6 Tb 3.26-3.34
Tb (0.2985, 0.0000, 0.7015)  6 Tb 3.27-3.41
Y (0.9043, 0.9043, 0.9043)  1 Y 3.40, 9 Tb 3.45-3.73
Tb (0.7015, 0.0000, 0.2985)  6 Tb 3.27-3.41
Tb (0.3740, 0.8493, 0.3740)  6 Tb 3.26-3.34
Ho (0.3203, 0.3203, 0.3203)  15 Tb 3.92-4.21, 1 Y 3.98
Tb (0.2985, 0.7015, 0.0000)  6 Tb 3.27-3.41
Tb (0.6260, 0.6260, 0.1507)  6 Tb 3.26-3.34
Tb (0.0000, 0.7015, 0.2985)  6 Tb 3.27-3.41
Ho (0.6797, 0.6797, 0.6797)  15 Tb 3.92-4.21, 1 Y 3.98
Tb (0.3740, 0.3740, 0.8493)  6 Tb 3.26-3.34
Tb (0.0000, 0.5000, 0.0000)  8 Tb 3.34-3.41, 2 Y 3.45
Tb (0.0000, 0.2985, 0.7015)  6 Tb 3.27-3.41
Tb (0.5000, 0.0000, 0.0000)  8 Tb 3.34-3.41, 2 Y 3.45

No. 2
Computed, not measured: a relaxed structure of Tb6YHo2 at the PBE-GGA level of DFT.

Unit cell a=3.5571 b=8.6989 c=12.8068 alpha=132.78 beta=82.01 gamma=90.08
Closest atoms and distances in Å follow each position.
Atoms (fractional coordinates):
Tb (0.7782, 0.1100, 0.4436)  2 Ho 3.55, 10 Tb 3.55-3.57
Ho (0.4442, 0.7765, 0.1110)  3 Ho 3.53-3.56, 7 Tb 3.54-3.56, 2 Y 3.56
Ho (0.5558, 0.2235, 0.8890)  3 Ho 3.53-3.56, 7 Tb 3.54-3.56, 2 Y 3.56
Tb (0.2218, 0.8900, 0.5564)  2 Ho 3.55, 10 Tb 3.55-3.57
Tb (0.1113, 0.4449, 0.7784)  4 Ho 3.54-3.55, 7 Tb 3.55-3.57, 1 Y 3.55
Tb (0.8887, 0.5551, 0.2216)  4 Ho 3.54-3.55, 7 Tb 3.55-3.57, 1 Y 3.55
Y (0.0000, 0.0000, 0.0000)  6 Tb 3.55-3.56, 2 Y 3.56, 4 Ho 3.56
Tb (0.6671, 0.6666, 0.6664)  9 Tb 3.55-3.56, 2 Y 3.55-3.56, 1 Ho 3.56
Tb (0.3329, 0.3334, 0.3336)  9 Tb 3.55-3.56, 2 Y 3.55-3.56, 1 Ho 3.56

Output
relative energy among the computed polymorphs: 0 kJ/mol of formula units

No. 3
Computed, not measured: a relaxed structure of Tb12YHo2 at the PBE-GGA level of DFT.

Unit cell a=6.6476 b=6.6476 c=24.7200 alpha=84.75 beta=95.25 gamma=64.10
Closest atoms and distances in Å follow each position.
Atoms (fractional coordinates):
Tb (0.4737, 0.5134, 0.6706)  3 Tb 3.14-3.32, 1 Ho 3.50
Tb (0.5817, 0.3854, 0.0727)  8 Tb 3.55-3.64, 3 Y 3.59-3.68
Tb (0.4557, 0.5897, 0.2012)  3 Tb 3.14-3.29
Tb (0.1705, 0.3295, 0.1526)  5 Tb 3.29-3.64, 1 Y 3.40, 2 Ho 3.52-3.53
Ho (0.0064, 0.4936, 0.7214)  2 Ho 3.46-3.60, 7 Tb 3.50-3.59
Tb (0.3188, 0.1812, 0.4220)  8 Tb 3.33-3.62
Ho (0.9821, 0.5179, 0.2756)  2 Ho 3.46-3.60, 7 Tb 3.52-3.61
Tb (0.1812, 0.3188, 0.5780)  8 Tb 3.33-3.62
Ho (0.5179, 0.9821, 0.7244)  2 Ho 3.46-3.60, 7 Tb 3.52-3.61
Tb (0.9103, 0.0443, 0.2012)  3 Tb 3.14-3.29
Tb (0.8314, 0.6686, 0.8780)  7 Tb 3.22-3.56, 1 Y 3.40
Tb (0.6686, 0.8314, 0.1220)  7 Tb 3.22-3.56, 1 Y 3.40
Tb (0.0443, 0.9103, 0.7988)  3 Tb 3.14-3.29
Tb (0.1542, 0.8317, 0.5556)  10 Tb 3.21-3.53
Tb (0.8317, 0.1542, 0.4444)  10 Tb 3.21-3.53
Tb (0.0263, 0.9866, 0.3294)  3 Tb 3.14-3.32, 1 Ho 3.50
Y (0.4913, 0.0087, 0.9851)  8 Tb 3.40-3.68, 2 Y 3.60-3.61
Tb (0.9183, 0.1146, 0.9273)  8 Tb 3.55-3.64, 3 Y 3.59-3.68
Tb (0.5897, 0.4557, 0.7988)  3 Tb 3.14-3.29
Tb (0.9866, 0.0263, 0.6706)  3 Tb 3.14-3.32, 1 Ho 3.50
Tb (0.1146, 0.9183, 0.0727)  8 Tb 3.55-3.64, 3 Y 3.59-3.68
Tb (0.6644, 0.8356, 0.5724)  6 Tb 3.31-3.62
Tb (0.6683, 0.3458, 0.5556)  10 Tb 3.21-3.53
Tb (0.3854, 0.5817, 0.9273)  8 Tb 3.55-3.64, 3 Y 3.59-3.68
Tb (0.5134, 0.4737, 0.3294)  3 Tb 3.14-3.32, 1 Ho 3.50
Tb (0.3295, 0.1705, 0.8474)  5 Tb 3.29-3.64, 1 Y 3.40, 2 Ho 3.52-3.53
Tb (0.8356, 0.6644, 0.4276)  6 Tb 3.31-3.62
Y (0.0087, 0.4913, 0.0149)  8 Tb 3.40-3.68, 2 Y 3.60-3.61
Ho (0.4936, 0.0064, 0.2786)  2 Ho 3.46-3.60, 7 Tb 3.50-3.59
Tb (0.3458, 0.6683, 0.4444)  10 Tb 3.21-3.53

No. 4
Computed, not measured: a relaxed structure of Tb5Y2Ho12 at the PBE-GGA level of DFT.

Unit cell a=6.2264 b=12.0264 c=17.2299 alpha=151.46 beta=102.14 gamma=80.49
Closest atoms and distances in Å follow each position.
Atoms (fractional coordinates):
Ho (0.7299, 0.4608, 0.1009)  1 Y 3.30, 6 Ho 3.38-3.67, 4 Tb 3.40-3.62
Y (0.7424, 0.0722, 0.0045)  5 Ho 3.24-3.47, 1 Y 3.35, 2 Tb 3.40-3.57
Ho (0.4582, 0.2485, 0.5747)  6 Ho 3.45-3.67, 5 Tb 3.56-3.78
Tb (0.3637, 0.6696, 0.6613)  8 Ho 3.36-3.71, 2 Y 3.40-3.57, 1 Tb 3.50
Ho (0.1644, 0.1175, 0.2928)  4 Tb 3.36-3.71, 6 Ho 3.40-3.65, 1 Y 3.47
Ho (0.2701, 0.5392, 0.8991)  1 Y 3.30, 6 Ho 3.38-3.67, 4 Tb 3.40-3.62
Tb (0.6363, 0.3304, 0.3387)  8 Ho 3.36-3.71, 2 Y 3.40-3.57, 1 Tb 3.50
Tb (0.2153, 0.6843, 0.1740)  9 Ho 3.34-3.62, 2 Tb 3.43-3.64
Ho (0.5418, 0.7515, 0.4253)  6 Ho 3.45-3.67, 5 Tb 3.56-3.78
Ho (0.7658, 0.7497, 0.9626)  2 Y 3.24-3.36, 2 Tb 3.34-3.50, 5 Ho 3.38-3.53
Ho (0.9111, 0.4663, 0.6268)  6 Ho 3.47-3.81, 2 Y 3.47-3.69, 4 Tb 3.65-3.81
Ho (0.2342, 0.2503, 0.0374)  2 Y 3.24-3.36, 2 Tb 3.34-3.50, 5 Ho 3.38-3.53
Ho (0.6891, 0.9066, 0.2397)  7 Ho 3.38-3.65, 5 Tb 3.54-3.66
Ho (0.3109, 0.0934, 0.7603)  7 Ho 3.38-3.65, 5 Tb 3.54-3.66
Y (0.2576, 0.9278, 0.9955)  5 Ho 3.24-3.47, 1 Y 3.35, 2 Tb 3.40-3.57
Tb (0.0000, 0.0000, 0.5000)  2 Tb 3.43, 10 Ho 3.54-3.81
Ho (0.0889, 0.5337, 0.3732)  6 Ho 3.47-3.81, 2 Y 3.47-3.69, 4 Tb 3.65-3.81
Ho (0.8356, 0.8825, 0.7072)  4 Tb 3.36-3.71, 6 Ho 3.40-3.65, 1 Y 3.47
Tb (0.7847, 0.3157, 0.8260)  9 Ho 3.34-3.62, 2 Tb 3.43-3.64

Output
relative energy among the computed polymorphs: 0 kJ/mol of formula units

No. 5
Computed, not measured: a relaxed structure of Tb2Y4Ho5 at the PBE-GGA level of DFT.

Unit cell a=3.5379 b=8.6639 c=11.7588 alpha=93.89 beta=98.65 gamma=90.00
Closest atoms and distances in Å follow each position.
Atoms (fractional coordinates):
Ho (0.2332, 0.8307, 0.4663)  4 Y 3.46-3.58, 4 Ho 3.47-3.54, 3 Tb 3.56-3.61
Ho (0.4540, 0.6300, 0.9080)  4 Ho 3.21-3.54, 5 Y 3.31-3.54, 2 Tb 3.48
Ho (0.5000, 0.0000, 0.0000)  4 Ho 3.31-3.54, 4 Y 3.67, 4 Tb 3.69
Tb (0.8663, 0.8673, 0.7325)  7 Ho 3.48-3.69, 2 Tb 3.54, 3 Y 3.67-3.72
Y (0.9174, 0.2835, 0.8348)  7 Ho 3.51-3.67, 4 Y 3.54-3.65, 1 Tb 3.72
Y (0.3155, 0.5130, 0.6309)  4 Ho 3.31-3.58, 6 Y 3.51-3.65, 2 Tb 3.67
Ho (0.7668, 0.1693, 0.5337)  4 Y 3.46-3.58, 4 Ho 3.47-3.54, 3 Tb 3.56-3.61
Y (0.0826, 0.7165, 0.1652)  7 Ho 3.51-3.67, 4 Y 3.54-3.65, 1 Tb 3.72
Y (0.6845, 0.4870, 0.3691)  4 Ho 3.31-3.58, 6 Y 3.51-3.65, 2 Tb 3.67
Ho (0.5460, 0.3700, 0.0920)  4 Ho 3.21-3.54, 5 Y 3.31-3.54, 2 Tb 3.48
Tb (0.1337, 0.1327, 0.2675)  7 Ho 3.48-3.69, 2 Tb 3.54, 3 Y 3.67-3.72

Output
relative energy among the computed polymorphs: 0 kJ/mol of formula units

No. 6
Computed, not measured: a relaxed structure of TbYHo2 at the PBE-GGA level of DFT.

Unit cell a=3.5468 b=3.5468 c=11.7390 alpha=81.31 beta=81.31 gamma=60.00
Closest atoms and distances in Å follow each position.
Atoms (fractional coordinates):
Ho (0.2502, 0.2502, 0.2494)  3 Tb 3.54, 6 Ho 3.55, 3 Y 3.55
Ho (0.7498, 0.7498, 0.7506)  3 Tb 3.54, 6 Ho 3.55, 3 Y 3.55
Y (0.5000, 0.5000, 0.5000)  6 Y 3.55, 6 Ho 3.55
Tb (0.0000, 0.0000, 0.0000)  6 Ho 3.54, 6 Tb 3.55

Output
relative energy among the computed polymorphs: 6 kJ/mol of formula units

No. 7
Computed, not measured: a relaxed structure of TbY4Ho6 at the PBE-GGA level of DFT.

Unit cell a=6.5448 b=6.5448 c=9.7242 alpha=109.67 beta=109.67 gamma=90.00
Closest atoms and distances in Å follow each position.
Atoms (fractional coordinates):
Y (0.9544, 0.9544, 0.2682)  7 Ho 3.32-3.48, 1 Y 3.33
Ho (0.4853, 0.8553, 0.3407)  5 Y 3.35-3.48, 1 Tb 3.38, 1 Ho 3.42
Ho (0.5147, 0.5147, 0.6593)  5 Y 3.35-3.48, 1 Tb 3.38, 1 Ho 3.42
Ho (0.8553, 0.4853, 0.3407)  5 Y 3.35-3.48, 1 Tb 3.38, 1 Ho 3.42
Y (0.3138, 0.3138, 0.2682)  7 Ho 3.32-3.48, 1 Y 3.33
Ho (0.1447, 0.1447, 0.6593)  5 Y 3.35-3.48, 1 Tb 3.38, 1 Ho 3.42
Ho (0.5000, 0.0000, 0.0000)  2 Tb 3.27, 4 Y 3.32
Tb (0.5000, 0.5000, 0.0000)  8 Ho 3.27-3.38
Y (0.0456, 0.6862, 0.7318)  7 Ho 3.32-3.48, 1 Y 3.33
Y (0.6862, 0.0456, 0.7318)  7 Ho 3.32-3.48, 1 Y 3.33
Ho (0.0000, 0.5000, 0.0000)  2 Tb 3.27, 4 Y 3.32

Output
relative energy among the computed polymorphs: 15 kJ/mol of formula units

No. 8
Computed, not measured: a relaxed structure of Tb3Y2Ho5 at the PBE-GGA level of DFT.

Unit cell a=9.5297 b=9.4889 c=11.0781 alpha=126.12 beta=126.21 gamma=67.98
Closest atoms and distances in Å follow each position.
Atoms (fractional coordinates):
Ho (0.8573, 0.6074, 0.7431)  3 Tb 3.45-3.67, 2 Y 3.46-3.63, 3 Ho 3.48-3.56
Ho (0.7270, 0.4770, 0.9540)  1 Ho 3.10, 2 Tb 3.28
Ho (0.6142, 0.8643, 0.2569)  3 Tb 3.45-3.67, 2 Y 3.46-3.63, 3 Ho 3.48-3.56
Y (0.5341, 0.2704, 0.2575)  3 Tb 3.19-3.48, 5 Ho 3.30-3.56
Ho (0.0215, 0.7715, 0.5431)  5 Tb 3.24-3.44, 2 Y 3.42, 2 Ho 3.48
Tb (0.2296, 0.9796, 0.9591)  3 Ho 3.24-3.53, 4 Y 3.30-3.48, 2 Tb 3.44
Tb (0.2691, 0.5311, 0.7520)  1 Y 3.19, 6 Ho 3.28-3.53, 1 Tb 3.44
Ho (0.5279, 0.2779, 0.5557)  1 Ho 3.10, 2 Y 3.30
Tb (0.0172, 0.7792, 0.2480)  1 Y 3.19, 6 Ho 3.28-3.53, 1 Tb 3.44
Ho (0.9785, 0.2285, 0.4569)  5 Tb 3.24-3.44, 2 Y 3.42, 2 Ho 3.48
Y (0.2234, 0.9872, 0.2575)  3 Tb 3.19-3.48, 5 Ho 3.30-3.56
Tb (0.9828, 0.2208, 0.7520)  1 Y 3.19, 6 Ho 3.28-3.53, 1 Tb 3.44
Ho (0.3858, 0.1357, 0.7431)  3 Tb 3.45-3.67, 2 Y 3.46-3.63, 3 Ho 3.48-3.56
Ho (0.1427, 0.3926, 0.2569)  3 Tb 3.45-3.67, 2 Y 3.46-3.63, 3 Ho 3.48-3.56
Y (0.4659, 0.7296, 0.7425)  3 Tb 3.19-3.48, 5 Ho 3.30-3.56
Tb (0.7309, 0.4689, 0.2480)  1 Y 3.19, 6 Ho 3.28-3.53, 1 Tb 3.44
Tb (0.7704, 0.0204, 0.0409)  3 Ho 3.24-3.53, 4 Y 3.30-3.48, 2 Tb 3.44
Ho (0.4721, 0.7221, 0.4443)  1 Ho 3.10, 2 Y 3.30
Y (0.7766, 0.0128, 0.7425)  3 Tb 3.19-3.48, 5 Ho 3.30-3.56
Ho (0.2730, 0.5230, 0.0460)  1 Ho 3.10, 2 Tb 3.28

Output
relative energy among the computed polymorphs: 0 kJ/mol of formula units

No. 9
Computed, not measured: a relaxed structure of TbY7Ho2 at the PBE-GGA level of DFT.

Unit cell a=5.6220 b=9.1225 c=9.1225 alpha=122.29 beta=90.00 gamma=90.00
Closest atoms and distances in Å follow each position.
Atoms (fractional coordinates):
Tb (0.0000, 0.0000, 0.0000)  10 Y 3.51-3.71
Y (0.5000, 0.7075, 0.9379)  2 Y 3.12-3.39, 2 Ho 3.17-3.29
Ho (0.5000, 0.7038, 0.2962)  7 Y 3.07-3.29
Y (0.0000, 0.7803, 0.2197)  2 Ho 3.07
Y (0.5000, 0.9379, 0.7075)  2 Y 3.12-3.39, 2 Ho 3.17-3.29
Ho (0.5000, 0.2962, 0.7038)  7 Y 3.07-3.29
Y (0.5000, 0.0621, 0.2925)  2 Y 3.12-3.39, 2 Ho 3.17-3.29
Y (0.5000, 0.2925, 0.0621)  2 Y 3.12-3.39, 2 Ho 3.17-3.29
Y (0.5000, 0.5000, 0.5000)  2 Ho 3.26, 4 Y 3.39
Y (0.0000, 0.2197, 0.7803)  2 Ho 3.07

Output
relative energy among the computed polymorphs: 562 kJ/mol of formula units

Number 1: density of states at the Fermi level 1.716 states/eV per atom, total DFT energy (no corrections) -0.3330 Ry/atom. Number 2: density of states at the Fermi level 1.381 states/eV per atom, total DFT energy (no corrections) -0.3532 Ry/atom. Number 3: density of states at the Fermi level 1.462 states/eV per atom, total DFT energy (no corrections) -0.3403 Ry/atom. Number 4: density of states at the Fermi level 1.442 states/eV per atom, total DFT energy (no corrections) -0.3475 Ry/atom. Number 5: density of states at the Fermi level 1.731 states/eV per atom, total DFT energy (no corrections) -0.3820 Ry/atom. Number 6: density of states at the Fermi level 1.474 states/eV per atom, total DFT energy (no corrections) -0.3705 Ry/atom. Number 7: density of states at the Fermi level 1.322 states/eV per atom, total DFT energy (no corrections) -0.3641 Ry/atom. Number 8: density of states at the Fermi level 1.978 states/eV per atom, total DFT energy (no corrections) -0.3504 Ry/atom. Number 9: density of states at the Fermi level 1.457 states/eV per atom, total DFT energy (no corrections) -0.3824 Ry/atom.